Entry from Alexandria: MnInSb2 at its PBEsol-relaxed geometry (SCAN).

Cell: 6.152 6.152 7.830 Å, 113.13 113.13 90.00°
Fractional positions:
Sb1 0.408 0.875 0.250
In1 0.250 0.750 0.500
Mn1 0.500 0.500 0.000
Mn2 0.750 0.250 0.500
Sb2 0.625 0.592 0.750
Sb3 0.842 0.375 0.250
In2 0.000 0.000 0.000
Sb4 0.125 0.158 0.750

* raw formation energy: -0.060 eV per atom

Entry from Alexandria: MoRu2 at its PBEsol-relaxed geometry (SCAN).

Cell: 2.720 5.118 6.414 Å, 103.35 90.00 105.41°
Fractional positions:
Mo1 0.997 0.994 0.994
Ru1 0.390 0.779 0.280
Mo2 0.671 0.341 0.336
Ru2 0.054 0.109 0.612
Ru3 0.723 0.446 0.943
Ru4 0.332 0.665 0.668

* electronic total energy: -208.95 eV/cell

Entry from Alexandria: BeAlHg at its PBEsol-relaxed geometry (SCAN).

Cell: 2.876 2.876 6.068 Å, 103.71 103.71 90.00°
Fractional positions:
Al1 0.024 0.024 0.048
Be1 0.658 0.658 0.316
Hg1 0.318 0.318 0.636

* ΔE to the lowest computed polymorph: 0 meV/atom

Entry from Alexandria: CaW3Se at its PBEsol-relaxed geometry (SCAN).

Cell: 4.656 4.656 4.656 Å, 90.00 90.00 90.00°
Fractional positions:
Ca1 0.500 0.500 0.500
W1 0.000 0.000 0.500
W2 0.500 0.000 0.000
W3 0.000 0.500 0.000
Se1 0.000 0.000 0.000

* raw formation energy: 1.459 eV per atom